Entry from Alexandria: a geometry-optimized LaAl2F8 structure (GGA-PBE).

POSCAR file:
```
LaAl2F8
1.0
5.7412 -2.8931 0.0000
5.7412 2.8931 0.0000
-0.3075 0.0000 4.6695
La Al F
1 2 8
Cartesian
0.0000 0.0000 0.0000
2.9546 0.0000 2.3535
8.2202 0.0000 2.3160
3.6174 1.6013 3.1464
1.8455 0.0000 3.7373
4.2532 0.0000 1.2109
7.5575 1.6013 1.5231
3.6174 -1.6013 3.1464
6.9217 0.0000 3.4586
9.3293 0.0000 0.9322
7.5575 -1.6013 1.5231
```

Properties
As for the raw total energy: -64.2 eV for the cell shown. The value obtained for the energy relative to the elements, uncorrected is -3345 meV per atom. The calculation puts the density of states at the Fermi level at 3.31 states/eV/cell. As for the crystal system: monoclinic.

=====

Entry from Alexandria: a geometry-optimized GeSCl structure (GGA-PBE).

POSCAR file:
```
GeSCl
1.0
3.6157 0.0000 0.0000
-1.8075 5.4984 0.0000
-1.1086 -1.3189 7.3656
Ge S Cl
2 2 2
Cartesian
0.0083 1.3322 0.2500
0.6912 2.8473 7.1156
-0.0019 3.4655 1.2429
0.7015 0.7139 6.1227
-1.0997 3.3320 5.3296
1.7993 0.8475 2.0360
```

Properties
As for the raw total energy: -23.6 eV for the cell shown. The value obtained for the energy relative to the elements, uncorrected is -396 meV per atom. The calculation puts the energy above the most stable polymorph in this dataset at 134 meV/atom. As for the crystal system: triclinic.

=====

Entry from Alexandria: a geometry-optimized Li4AlSn3 structure (GGA-PBE).

POSCAR file:
```
Li4AlSn3
1.0
3.3740 0.0000 0.0000
0.0000 3.3740 0.0000
0.0000 0.0000 13.4729
Li Al Sn
4 1 3
Cartesian
0.0000 0.0000 1.4730
0.0000 0.0000 4.9327
0.0000 0.0000 8.5403
0.0000 0.0000 11.9999
1.6870 1.6870 0.0000
1.6870 1.6870 3.1334
1.6870 1.6870 6.7365
1.6870 1.6870 10.3396
```

Properties
As for the raw total energy: -25.5 eV for the cell shown. Its formation energy is -2.062 eV per formula unit. The calculation puts the density of states at the Fermi level at 2.33 states/eV/cell. As for the crystal system: tetragonal.

=====

Entry from Alexandria: a geometry-optimized Y2TmNpP4 structure (GGA-PBE).

POSCAR file:
```
Y2TmNpP4
1.0
6.8836 0.0000 0.0000
0.0000 3.9743 0.0000
-2.2812 0.0000 6.5042
Y Tm Np P
2 1 1 4
Cartesian
0.0000 0.0000 0.0000
3.4418 1.9872 0.0000
-1.1406 1.9872 3.2521
2.3012 0.0000 3.2521
0.0265 0.0000 4.8372
1.1582 1.9872 1.6658
3.4443 1.9872 4.8385
4.5759 0.0000 1.6670
```

Properties
As for the raw total energy: -63.4 eV for the cell shown. Its formation energy is -11.406 eV per formula unit. The calculation puts the density of states at the Fermi level at 10.09 states/eV/cell. As for the crystal system: monoclinic.

=====

Entry from Alexandria: a geometry-optimized Fe2HPd structure (GGA-PBE).

POSCAR file:
```
Fe2HPd
1.0
1.3212 0.7628 7.2821
-1.3212 0.7628 7.2821
0.0000 -1.5256 7.2821
Fe H Pd
2 1 1
Cartesian
0.0000 0.0000 2.5080
0.0000 0.0000 19.3381
0.0000 0.0000 10.9231
0.0000 0.0000 0.0000
```

Properties
As for the raw total energy: -24.5 eV for the cell shown. The calculation puts the density of states at the Fermi level at 3.32 states/eV/cell. The calculation puts the energy above the most stable polymorph in this dataset at 236 meV/atom. As for the crystal system: trigonal.

=====

Entry from Alexandria: a geometry-optimized PrSmMg structure (GGA-PBE).

POSCAR file:
```
PrSmMg
1.0
5.4443 0.0000 0.0000
0.0000 5.4443 0.0000
0.0000 0.0000 7.3716
Pr Sm Mg
2 2 2
Cartesian
1.3611 4.0833 0.0000
4.0833 1.3611 0.0000
1.3611 4.0833 3.6858
4.0833 1.3611 3.6858
1.3611 1.3611 1.8734
4.0833 4.0833 5.4982
```

Properties
As for the raw total energy: -19.9 eV for the cell shown. Its formation energy is 1.121 eV per formula unit. The calculation puts the density of states at the Fermi level at 12.99 states/eV/cell. The calculation puts the energy above the most stable polymorph in this dataset at 429 meV/atom. As for the crystal system: tetragonal.

=====

Entry from Alexandria: a geometry-optimized Ti2MnNiH structure (GGA-PBE).

POSCAR file:
```
Ti2MnNiH
1.0
4.1362 0.0000 0.0000
0.0000 4.1362 0.0000
0.0000 0.0000 3.2863
Ti Mn Ni H
2 1 1 1
Cartesian
0.0000 2.0681 0.0000
2.0681 0.0000 0.0000
0.0000 0.0000 1.6431
2.0681 2.0681 1.6431
0.0000 0.0000 0.0000
```

Properties
As for the raw total energy: -35.5 eV for the cell shown. The calculation puts the density of states at the Fermi level at 4.69 states/eV/cell. The calculation puts the energy above the most stable polymorph in this dataset at 16 meV/atom. As for the crystal system: tetragonal.

=====

Entry from Alexandria: a geometry-optimized UGa3Ni structure (GGA-PBE).

POSCAR file:
```
UGa3Ni
1.0
-2.0290 2.0290 5.2857
2.0290 -2.0290 5.2857
2.0290 2.0290 -5.2857
U Ga Ni
1 3 1
Cartesian
0.0000 0.0000 0.0000
0.0000 0.0000 4.0631
0.0000 0.0000 6.5082
0.0000 2.0290 2.6428
2.0290 0.0000 2.6428
```

Properties
As for the raw total energy: -27.1 eV for the cell shown. Its formation energy is -0.934 eV per formula unit. The calculation puts the density of states at the Fermi level at 8.96 states/eV/cell. The calculation puts the energy above the most stable polymorph in this dataset at 81 meV/atom. As for the crystal system: tetragonal.

=====

Entry from Alexandria: a geometry-optimized Cu5PtAu4 structure (GGA-PBE).

POSCAR file:
```
Cu5PtAu4
1.0
2.8989 0.0000 0.0000
0.0000 2.8989 0.0000
0.0000 0.0000 17.6585
Cu Pt Au
5 1 4
Cartesian
0.0000 0.0000 0.0000
0.0000 0.0000 3.5880
0.0000 0.0000 7.1657
0.0000 0.0000 10.4928
0.0000 0.0000 14.0704
1.4494 1.4494 8.8292
1.4494 1.4494 1.7920
1.4494 1.4494 5.3755
1.4494 1.4494 12.2830
1.4494 1.4494 15.8665
```

Properties
As for the raw total energy: -40.4 eV for the cell shown. Its formation energy is -0.746 eV per formula unit. The calculation puts the density of states at the Fermi level at 1.64 states/eV/cell. As for the crystal system: tetragonal.

=====

Entry from Alexandria: a geometry-optimized Eu2ZrZn structure (GGA-PBE).

POSCAR file:
```
Eu2ZrZn
1.0
1.6672 0.9626 11.5350
-1.6672 0.9626 11.5350
0.0000 -1.9252 11.5350
Eu Zr Zn
2 1 1
Cartesian
0.0000 0.0000 3.2196
0.0000 0.0000 31.3854
0.0000 0.0000 0.0000
0.0000 0.0000 17.3025
```

Properties
As for the raw total energy: -28.9 eV for the cell shown. Its formation energy is 1.461 eV per formula unit. The calculation puts the density of states at the Fermi level at 4.35 states/eV/cell. As for the crystal system: trigonal.

=====

Entry from Alexandria: a geometry-optimized Na2In4Co structure (GGA-PBE).

POSCAR file:
```
Na2In4Co
1.0
-2.4828 2.4828 7.8972
2.4828 -2.4828 7.8972
2.4828 2.4828 -7.8972
Na In Co
2 4 1
Cartesian
0.0000 0.0000 2.3057
0.0000 0.0000 13.4887
2.4828 0.0000 0.0000
0.0000 0.0000 5.3559
0.0000 2.4828 0.0000
0.0000 0.0000 10.4385
0.0000 0.0000 7.8972
```

Properties
As for the raw total energy: -20.4 eV for the cell shown. Its formation energy is 0.295 eV per formula unit. The calculation puts the density of states at the Fermi level at 3.63 states/eV/cell. As for the crystal system: tetragonal.

=====

Entry from Alexandria: a geometry-optimized ZnInGa4 structure (GGA-PBE).

POSCAR file:
```
ZnInGa4
1.0
6.6885 -3.6087 0.0000
6.6885 3.6087 0.0000
-1.6237 0.0000 5.0204
Zn In Ga
2 2 8
Cartesian
0.1735 0.0000 1.3258
11.5798 0.0000 3.6947
3.1918 0.0000 1.8182
8.5614 0.0000 3.2022
1.1046 0.0000 3.9049
3.6275 1.4036 4.7247
5.8766 1.3734 2.5102
8.1257 1.4036 0.2957
3.6275 -1.4036 4.7247
5.8766 -1.3734 2.5102
8.1257 -1.4036 0.2957
10.6486 0.0000 1.1156
```

Properties
As for the raw total energy: -31.6 eV for the cell shown. Its formation energy is 0.330 eV per formula unit. The calculation puts the density of states at the Fermi level at 2.98 states/eV/cell. The calculation puts the energy above the most stable polymorph in this dataset at 0 meV/atom. As for the crystal system: monoclinic.